(1)
A relaxed Co2Ni14H9 crystal. Source: the Alexandria database, functional PBE.

Lattice parameters (Å, degrees): 6.3890 6.3890 5.7812 90.00 90.00 120.00
Last column: magnetic moment on the atom in μB.
Positions (direct):
Ni1 0.3130 0.8946 0.5928  0.30
Ni2 0.6157 0.9243 0.9269  0.29
Ni3 0.1054 0.4184 0.5928  0.30
Ni4 0.0000 0.0000 0.2725  0.06
Ni5 0.6914 0.6157 0.0731  0.29
Ni6 0.3843 0.0757 0.0731  0.29
Ni7 0.5816 0.6870 0.5928  0.30
Ni8 0.3086 0.3843 0.9269  0.29
Ni9 0.9243 0.3086 0.0731  0.29
Ni10 0.8946 0.5816 0.4072  0.30
Ni11 0.0757 0.6914 0.9269  0.29
Ni12 0.0000 0.0000 0.7275  0.06
Ni13 0.4184 0.3130 0.4072  0.30
Ni14 0.6870 0.1054 0.4072  0.30
H1 0.2581 0.2676 0.6550  0.00
H2 0.7324 0.9905 0.6550  0.00
H3 0.9905 0.2581 0.3450  0.00
H4 0.0000 0.0000 0.0000  0.00
H5 0.7419 0.7324 0.3450  0.00
H6 0.3333 0.6667 0.9426  -0.01
H7 0.6667 0.3333 0.0574  -0.01
H8 0.2676 0.0095 0.3450  0.00
H9 0.0095 0.7419 0.6550  0.00
Co1 0.3333 0.6667 0.2471  1.71
Co2 0.6667 0.3333 0.7529  1.71

Magnetization, μB/atom: 0.268
Fermi-level density of states, states/eV/cell: 24.7
Calculated total energy, Ha/atom: -0.1784

---

(2)
A relaxed SrCrMo crystal. Source: the Alexandria database, functional PBE.

Lattice parameters (Å, degrees): 5.1317 5.1317 5.1317 60.00 60.00 60.00
Last column: magnetic moment on the atom in μB.
Positions (direct):
Cr1 0.0000 0.0000 0.0000  4.00
Mo1 0.5000 0.5000 0.5000  3.10
Sr1 0.7500 0.7500 0.7500  0.16

Magnetization, μB/atom: 2.906
Fermi-level density of states, states/eV/cell: 4.0
Excess energy over the best structure of this formula in the dataset, eV/f.u.: 4.77

---

Number 1: volume 204 Å³/cell. Number 2: volume 96 Å³/cell.